First-principles (PBE) data for LaTb2Sm2Tm2 after structural relaxation, as listed in Alexandria via LeMat-Bulk.

Cell and atoms, written as CIF:
```
data_LaTb2Sm2Tm2
_chemical_formula_sum 'La2 Tb4 Sm4 Tm4'
_space_group_name_H-M_alt 'C 1 2/m 1'
_space_group_IT_number 12
_space_group_name_Hall '-C 2y'
_cell_length_a 11.629
_cell_length_b 3.488
_cell_length_c 11.865
_cell_angle_alpha 90.00
_cell_angle_beta 102.30
_cell_angle_gamma 90.00
loop_
_atom_site_label
_atom_site_type_symbol
_atom_site_fract_x
_atom_site_fract_y
_atom_site_fract_z
La1 La 0.000 0.000 0.000
Tb1 Tb 0.092 0.500 0.280
Sm1 Sm 0.203 0.500 0.866
Tm1 Tm 0.157 0.500 0.572
```

First-principles (PBE) data for LaTb5SmTm2 after structural relaxation, as listed in Alexandria via LeMat-Bulk.

Cell and atoms, written as CIF:
```
data_LaTb5SmTm2
_chemical_formula_sum 'La4 Tb20 Sm4 Tm8'
_space_group_name_H-M_alt 'C m c 21'
_space_group_IT_number 36
_space_group_name_Hall 'C 2c -2'
_cell_length_a 5.628
_cell_length_b 19.938
_cell_length_c 10.575
_cell_angle_alpha 90.00
_cell_angle_beta 90.00
_cell_angle_gamma 90.00
loop_
_atom_site_label
_atom_site_type_symbol
_atom_site_fract_x
_atom_site_fract_y
_atom_site_fract_z
La1 La 0.000 0.082 0.000
Tb1 Tb 0.000 0.022 0.289
Tb2 Tb 0.000 0.112 0.578
Tb3 Tb 0.000 0.202 0.262
Tb4 Tb 0.000 0.220 0.866
Tb5 Tb 0.000 0.483 0.579
Sm1 Sm 0.000 0.300 0.566
Tm1 Tm 0.000 0.387 0.873
Tm2 Tm 0.000 0.388 0.287
```

First-principles (PBE) data for LaTb6Sm3Tm2 after structural relaxation, as listed in Alexandria via LeMat-Bulk.

Cell and atoms, written as CIF:
```
data_LaTb6Sm3Tm2
_chemical_formula_sum 'La2 Tb12 Sm6 Tm4'
_space_group_name_H-M_alt 'C 1 2/m 1'
_space_group_IT_number 12
_space_group_name_Hall '-C 2y'
_cell_length_a 6.203
_cell_length_b 10.738
_cell_length_c 11.887
_cell_angle_alpha 90.00
_cell_angle_beta 99.98
_cell_angle_gamma 90.00
loop_
_atom_site_label
_atom_site_type_symbol
_atom_site_fract_x
_atom_site_fract_y
_atom_site_fract_z
La1 La 0.000 0.000 0.000
Tb1 Tb 0.249 0.333 0.751
Tb2 Tb 0.249 0.500 0.249
Sm1 Sm 0.000 0.167 0.500
Sm2 Sm 0.000 0.500 0.500
Tm1 Tm 0.000 0.333 0.000
```

First-principles (PBE) data for La4TbSmTm2 after structural relaxation, as listed in Alexandria via LeMat-Bulk.

Cell and atoms, written as CIF:
```
data_La4TbSmTm2
_chemical_formula_sum 'La4 Tb1 Sm1 Tm2'
_space_group_name_H-M_alt 'P m m m'
_space_group_IT_number 47
_space_group_name_Hall '-P 2 2'
_cell_length_a 5.215
_cell_length_b 5.242
_cell_length_c 9.990
_cell_angle_alpha 90.00
_cell_angle_beta 90.00
_cell_angle_gamma 90.00
loop_
_atom_site_label
_atom_site_type_symbol
_atom_site_fract_x
_atom_site_fract_y
_atom_site_fract_z
La1 La 0.000 0.000 0.248
La2 La 0.500 0.500 0.249
Tb1 Tb 0.000 0.500 0.000
Sm1 Sm 0.500 0.000 0.500
Tm1 Tm 0.000 0.500 0.500
Tm2 Tm 0.500 0.000 0.000
```

no.,calculated volume (Å³ per atom),total moment (μB per formula unit),ΔE_f (eV/atom)
1,33.6,0.09,0.1714
2,33.0,0.00,0.1635
3,32.5,0.00,0.0193
4,34.1,0.00,0.0198